No. 1
# Cs2AlBr6O, optimized geometry, DFT PBE-GGA
data_Cs2AlBr6O
_chemical_formula_sum 'Cs4 Al2 Br12 O2'
_symmetry_space_group_name_H-M 'I 4/m m m'
_symmetry_Int_Tables_number 139
_symmetry_space_group_name_Hall '-I 4 2'
_cell_length_a 7.461
_cell_length_b 7.461
_cell_length_c 11.734
_cell_angle_alpha 90.00
_cell_angle_beta 90.00
_cell_angle_gamma 90.00
loop_
_atom_site_label
_atom_site_fract_x
_atom_site_fract_y
_atom_site_fract_z
Cs1 0.000 0.500 0.250
Al1 0.000 0.000 0.000
Br1 0.000 0.000 0.211
Br2 0.243 0.243 0.000
O1 0.000 0.000 0.500
# Raw formation energy ... -888 meV/atom
# Total magnetization ... 6.0 Bohr magnetons per cell

---

No. 2
# ThScZn2Au2, optimized geometry, DFT PBE-GGA
data_ThScZn2Au2
_chemical_formula_sum 'Th1 Sc1 Zn2 Au2'
_symmetry_space_group_name_H-M 'P -3 m 1'
_symmetry_Int_Tables_number 164
_symmetry_space_group_name_Hall '-P 3 2"'
_cell_length_a 4.5931
_cell_length_b 4.5931
_cell_length_c 6.6494
_cell_angle_alpha 90.00
_cell_angle_beta 90.00
_cell_angle_gamma 120.00
loop_
_atom_site_label
_atom_site_fract_x
_atom_site_fract_y
_atom_site_fract_z
Th1 0.0000 0.0000 0.0000
Sc1 0.0000 0.0000 0.5000
Zn1 0.3333 0.6667 0.7123
Au1 0.3333 0.6667 0.2742
# Calculated total energy ... -26.31 eV per cell
# Total magnetization ... 0.0 Bohr magnetons per cell

---

No. 3
# Pr4CoSe2Br, optimized geometry, DFT PBE-GGA
data_Pr4CoSe2Br
_chemical_formula_sum 'Pr4 Co1 Se2 Br1'
_symmetry_space_group_name_H-M 'P 1 2/m 1'
_symmetry_Int_Tables_number 10
_cell_length_a 7.454
_cell_length_b 4.090
_cell_length_c 7.551
_cell_angle_alpha 90.00
_cell_angle_beta 108.05
_cell_angle_gamma 90.00
loop_
_symmetry_equiv_pos_as_xyz
'x,y,z'
'-x,-y,-z'
'-x,y,-z'
'x,-y,z'
loop_
_atom_site_label
_atom_site_fract_x
_atom_site_fract_y
_atom_site_fract_z
Pr1 0.223 0.000 0.216
Pr2 0.256 0.500 0.771
Co1 0.000 0.500 0.000
Se1 0.500 0.000 0.000
Se2 0.500 0.500 0.500
Br1 0.000 0.000 0.500
# Raw formation energy ... -1196 meV/atom
# Total magnetization ... 0.0 Bohr magnetons per cell

---

> The highest total magnetization belongs to which entry?

Cs2AlBr6O

---

> What is the formula in the third record?

Pr4CoSe2Br

---

> What is the total magnetization in the first record?

6.0 Bohr magnetons per cell

---

What did the second record say?
# ThScZn2Au2, optimized geometry, DFT PBE-GGA
data_ThScZn2Au2
_chemical_formula_sum 'Th1 Sc1 Zn2 Au2'
_symmetry_space_group_name_H-M 'P -3 m 1'
_symmetry_Int_Tables_number 164
_symmetry_space_group_name_Hall '-P 3 2"'
_cell_length_a 4.5931
_cell_length_b 4.5931
_cell_length_c 6.6494
_cell_angle_alpha 90.00
_cell_angle_beta 90.00
_cell_angle_gamma 120.00
loop_
_atom_site_label
_atom_site_fract_x
_atom_site_fract_y
_atom_site_fract_z
Th1 0.0000 0.0000 0.0000
Sc1 0.0000 0.0000 0.5000
Zn1 0.3333 0.6667 0.7123
Au1 0.3333 0.6667 0.2742
# Calculated total energy ... -26.31 eV per cell
# Total magnetization ... 0.0 Bohr magnetons per cell